(1)
NaLi2CrF6: relaxed, PBE with a Hubbard U.

Values from the calculation:
Relative energy among the computed polymorphs in kJ/mol of atoms: 23.75
Calculated total energy in Ry per atom: -0.3677

Unit cell a=5.766 b=5.766 c=5.766 alpha=60.00 beta=60.00 gamma=60.00
Fractional positions:
Na (0.000, 0.000, 0.000)
Li (0.250, 0.250, 0.250)
Li (0.750, 0.750, 0.750)
Cr (0.500, 0.500, 0.500)
F (0.264, 0.264, 0.736)
F (0.264, 0.736, 0.264)
F (0.264, 0.736, 0.736)
F (0.736, 0.264, 0.264)
F (0.736, 0.264, 0.736)
F (0.736, 0.736, 0.264)

---

(2)
Na2LiCrF6: relaxed, PBE with a Hubbard U.

Values from the calculation:
Relative energy among the computed polymorphs in kJ/mol of atoms: 0.00
Calculated total energy in Ry per atom: -0.3803

Unit cell a=5.407 b=5.575 c=9.411 alpha=90.00 beta=124.74 gamma=90.00
Fractional positions:
Na (0.235, 0.053, 0.249)
Na (0.235, 0.447, 0.749)
Na (0.765, 0.553, 0.251)
Na (0.765, 0.947, 0.751)
Li (0.000, 0.000, 0.500)
Li (0.000, 0.500, 0.000)
Cr (0.500, 0.000, 0.000)
Cr (0.500, 0.500, 0.500)
F (0.161, 0.195, 0.952)
F (0.161, 0.305, 0.452)
F (0.257, 0.712, 0.948)
F (0.257, 0.788, 0.448)
F (0.354, 0.032, 0.758)
F (0.354, 0.468, 0.258)
F (0.646, 0.532, 0.742)
F (0.646, 0.968, 0.242)
F (0.743, 0.212, 0.552)
F (0.743, 0.288, 0.052)
F (0.839, 0.695, 0.548)
F (0.839, 0.805, 0.048)

---

(3)
Na3Li2CrF9: relaxed, PBE with a Hubbard U.

Values from the calculation:
Calculated total energy in Ry per atom: -0.3507

Unit cell a=5.493 b=5.493 c=6.929 alpha=90.00 beta=90.00 gamma=120.00
Fractional positions:
Na (0.000, 0.000, 0.000)
Na (0.333, 0.667, 0.753)
Na (0.667, 0.333, 0.247)
Li (0.333, 0.667, 0.160)
Li (0.667, 0.333, 0.840)
Cr (0.000, 0.000, 0.500)
F (0.000, 0.500, 0.000)
F (0.159, 0.319, 0.341)
F (0.159, 0.841, 0.341)
F (0.319, 0.159, 0.659)
F (0.500, 0.000, 0.000)
F (0.500, 0.500, 0.000)
F (0.681, 0.841, 0.341)
F (0.841, 0.159, 0.659)
F (0.841, 0.681, 0.659)

---

(4)
NaLi2CrF6: relaxed, PBE with a Hubbard U.

Values from the calculation:
Relative energy among the computed polymorphs in kJ/mol of atoms: 0.00
Calculated total energy in Ry per atom: -0.3858

Unit cell a=5.695 b=5.695 c=5.695 alpha=54.84 beta=54.84 gamma=54.84
Fractional positions:
Na (0.000, 0.000, 0.000)
Li (0.280, 0.280, 0.280)
Li (0.794, 0.794, 0.794)
Cr (0.488, 0.488, 0.488)
F (0.100, 0.679, 0.434)
F (0.238, 0.563, 0.875)
F (0.434, 0.100, 0.679)
F (0.563, 0.875, 0.238)
F (0.679, 0.434, 0.100)
F (0.875, 0.238, 0.563)

---

(5)
Na2LiCrF6: relaxed, PBE with a Hubbard U.

Values from the calculation:
Relative energy among the computed polymorphs in kJ/mol of atoms: 4.16
Calculated total energy in Ry per atom: -0.3771

Unit cell a=5.548 b=5.548 c=5.548 alpha=60.00 beta=60.00 gamma=60.00
Fractional positions:
Na (0.250, 0.250, 0.250)
Na (0.750, 0.750, 0.750)
Li (0.000, 0.000, 0.000)
Cr (0.500, 0.500, 0.500)
F (0.254, 0.254, 0.746)
F (0.254, 0.746, 0.254)
F (0.254, 0.746, 0.746)
F (0.746, 0.254, 0.254)
F (0.746, 0.254, 0.746)
F (0.746, 0.746, 0.254)

---

(6)
NaLi2CrF8: relaxed, PBE with a Hubbard U.

Values from the calculation:
Calculated total energy in Ry per atom: -0.3487

Unit cell a=4.620 b=6.597 c=4.734 alpha=90.00 beta=90.13 gamma=90.00
Fractional positions:
Na (0.000, 0.000, 0.000)
Li (0.500, 0.273, 0.500)
Li (0.500, 0.727, 0.500)
Cr (0.000, 0.500, 0.000)
F (0.210, 0.295, 0.821)
F (0.210, 0.705, 0.821)
F (0.266, 0.500, 0.293)
F (0.320, 0.000, 0.390)
F (0.680, 0.000, 0.610)
F (0.734, 0.500, 0.707)
F (0.790, 0.295, 0.179)
F (0.790, 0.705, 0.179)

---

Number 1: spin magnetization 0.300 μB per atom. Number 2: spin magnetization 0.300 μB per atom. Number 3: spin magnetization 0.129 μB per atom. Number 4: spin magnetization 0.300 μB per atom. Number 5: spin magnetization 0.300 μB per atom. Number 6: spin magnetization 0.250 μB per atom.